Density functional theory data (GGA-PBE) for a geometry-optimized RbHoTl2 structure.

**E_form**: -0.01 eV per atom
**ρ**: 7964 kg/m3
**Final energy**: -2.58 eV/atom
**Magnetization**: 0.0 Bohr magnetons per cell
**Volume**: 34.4 Å³ per atom
**D(E_F)**: 1.079 states/eV per atom

Lattice parameters (Å, degrees): 3.7848 3.7848 33.2367 90.00 90.00 120.00
With the nearest neighbours (Å) after each atom.
Space group R-3m (No. 166, hexagonal axes)
Symmetry-distinct sites (fractional):
Rb 0.0000 0.0000 0.0000 (multiplicity 3)  6 Tl 3.78, 6 Rb 3.78
Ho 0.0000 0.0000 0.5000 (multiplicity 3)  6 Tl 3.29
Tl 0.0000 0.0000 0.2405 (multiplicity 6)  3 Ho 3.29


Density functional theory data (GGA-PBE) for a geometry-optimized RbHoTl2 structure.

**E_form**: -0.17 eV per atom
**ρ**: 8083 kg/m3
**Final energy**: -2.74 eV/atom
**Magnetization**: 0.0 Bohr magnetons per cell
**Volume**: 33.9 Å³ per atom
**D(E_F)**: 0.630 states/eV per atom

Lattice parameters (Å, degrees): 3.8849 3.8849 8.9720 90.00 90.00 90.00
With the nearest neighbours (Å) after each atom.
Space group P4/mmm (No. 123)
Symmetry-distinct sites (fractional):
Rb 0.0000 0.0000 0.0000 (multiplicity 1)  8 Tl 3.86, 4 Rb 3.88
Ho 0.0000 0.0000 0.5000 (multiplicity 1)  8 Tl 3.27
Tl 0.5000 0.5000 0.3027 (multiplicity 2)  4 Ho 3.27, 1 Tl 3.54


Density functional theory data (GGA-PBE) for a geometry-optimized RbHo4Tl5 structure.

**E_form**: -0.26 eV per atom
**ρ**: 9893 kg/m3
**Final energy**: -3.38 eV/atom
**Magnetization**: 0.0 Bohr magnetons per cell
**Volume**: 29.7 Å³ per atom
**D(E_F)**: 0.556 states/eV per atom

Lattice parameters (Å, degrees): 3.8316 3.8316 20.2026 90.00 90.00 90.00
With the nearest neighbours (Å) after each atom.
Space group P4/mmm (No. 123)
Symmetry-distinct sites (fractional):
Rb 0.0000 0.0000 0.0000 (multiplicity 1)  4 Rb 3.83, 8 Tl 3.86
Ho 0.0000 0.0000 0.2213 (multiplicity 2)  8 Tl 3.21-3.31
Ho 0.0000 0.0000 0.4070 (multiplicity 2)  8 Tl 3.28-3.30
Tl 0.5000 0.5000 0.1360 (multiplicity 2)  4 Ho 3.21
Tl 0.5000 0.5000 0.3154 (multiplicity 2)  8 Ho 3.28-3.31, 1 Tl 3.62
Tl 0.5000 0.5000 0.5000 (multiplicity 1)  8 Ho 3.30


Density functional theory data (GGA-PBE) for a geometry-optimized HoReRu structure.

**E_form**: 0.24 eV per atom
**ρ**: 13285 kg/m3
**Final energy**: -8.53 eV/atom
**Magnetization**: 0.0 Bohr magnetons per cell
**Volume**: 18.8 Å³ per atom
**D(E_F)**: 1.186 states/eV per atom

Lattice parameters (Å, degrees): 8.4816 5.2218 5.2821 90.00 104.88 90.00
With the nearest neighbours (Å) after each atom.
Space group C2/m (No. 12)
Symmetry-distinct sites (fractional):
Ho 0.1379 0.0000 0.3942 (multiplicity 4)  2 Re 2.82, 1 Ho 2.84, 3 Ru 2.86-3.11
Re 0.2500 0.2500 0.0000 (multiplicity 4)  2 Ru 2.59, 2 Re 2.61, 2 Ho 2.82
Ru 0.0032 0.5000 0.2641 (multiplicity 4)  2 Ru 2.51-2.78, 2 Re 2.59